1.
Entry from Alexandria: a geometry-optimized La7Ga2Co2 structure (PBE).

## Properties
Calculated total energy: -5.19 eV per atom
ΔH_f (0 K): -2.377 eV per formula unit

abc: 6.988 7.010 6.988
angles: 90.00 110.22 90.00
Sites, in units of the cell vectors:
Ga 0.843 0.500 0.843
Ga 0.157 0.500 0.157
La 0.000 0.254 0.500
La 0.000 0.000 0.000
La 0.000 0.746 0.500
La 0.500 0.746 0.000
La 0.500 0.254 0.000
La 0.500 0.257 0.500
La 0.500 0.743 0.500
Co 0.702 0.000 0.298
Co 0.298 0.000 0.702



2.
Entry from Alexandria: a geometry-optimized La2GaCo structure (PBE).

## Properties
Calculated total energy: -5.23 eV per atom
ΔH_f (0 K): -0.927 eV per formula unit

abc: 3.657 3.657 7.198
angles: 90.00 90.00 90.00
Sites, in units of the cell vectors:
La 0.000 0.000 0.775
La 0.000 0.000 0.225
Co 0.500 0.500 0.000
Ga 0.500 0.500 0.500



3.
Entry from Alexandria: a geometry-optimized La2GaCo2 structure (PBE).

## Properties
Calculated total energy: -5.56 eV per atom
ΔH_f (0 K): -0.706 eV per formula unit

abc: 5.464 5.464 5.331
angles: 59.18 59.18 90.00
Sites, in units of the cell vectors:
La 0.750 0.250 0.500
La 0.250 0.750 0.500
Co 0.675 0.675 0.650
Co 0.325 0.325 0.350
Ga 0.000 0.000 0.000



4.
Entry from Alexandria: a geometry-optimized LaGa2Co3 structure (PBE).

## Properties
Calculated total energy: -5.71 eV per atom
ΔH_f (0 K): -1.947 eV per formula unit

abc: 3.741 5.376 5.376
angles: 120.00 90.00 90.00
Site moments in Bohr magnetons follow the coordinates.
Sites, in units of the cell vectors:
Co 0.500 0.000 0.500  0.25
Co 0.500 0.500 0.000  0.26
Co 0.500 0.500 0.500  0.28
Ga 0.000 0.333 0.667  -0.01
Ga 0.000 0.667 0.333  -0.01
La 0.000 0.000 0.000  -0.05



5.
Entry from Alexandria: a geometry-optimized La2Ga4Co3 structure (PBE).

## Properties
Calculated total energy: -5.16 eV per atom
ΔH_f (0 K): -3.201 eV per formula unit

abc: 5.426 5.426 6.952
angles: 101.19 101.19 120.18
Sites, in units of the cell vectors:
Co 0.500 0.000 0.000
Co 0.000 0.000 0.000
Co 0.000 0.500 0.000
La 0.375 0.375 0.751
La 0.625 0.625 0.249
Ga 0.320 0.977 0.297
Ga 0.680 0.023 0.703
Ga 0.977 0.320 0.297
Ga 0.023 0.680 0.703



6.
Entry from Alexandria: a geometry-optimized La2Ga7Co structure (PBE).

## Properties
Calculated total energy: -4.30 eV per atom
ΔH_f (0 K): -4.810 eV per formula unit

abc: 4.290 4.290 10.708
angles: 90.00 90.00 90.00
Site moments in Bohr magnetons follow the coordinates.
Sites, in units of the cell vectors:
Ga 0.000 0.000 0.500  0.00
Ga 0.000 0.000 0.000  0.00
Ga 0.000 0.500 0.641  0.00
Ga 0.000 0.500 0.879  -0.01
Ga 0.500 0.500 0.500  0.00
Ga 0.500 0.000 0.359  0.00
Ga 0.500 0.000 0.121  -0.01
Co 0.500 0.500 0.000  0.60
La 0.500 0.000 0.758  -0.01
La 0.000 0.500 0.242  -0.01



7.
Entry from Alexandria: a geometry-optimized LaGaCo structure (PBE).

## Properties
Calculated total energy: -5.35 eV per atom
ΔH_f (0 K): -1.000 eV per formula unit

abc: 4.610 6.680 7.424
angles: 116.74 108.09 90.00
Site moments in Bohr magnetons follow the coordinates.
Sites, in units of the cell vectors:
Co 0.823 0.252 0.647  0.07
Co 0.177 0.605 0.353  0.07
Co 0.500 0.474 0.000  0.56
Ga 0.676 0.812 0.353  0.00
Ga 0.324 0.459 0.647  0.00
Ga 0.000 0.282 0.000  -0.01
La 0.000 0.752 0.000  0.00
La 0.658 0.310 0.316  -0.02
La 0.342 0.994 0.684  -0.02



8.
Entry from Alexandria: a geometry-optimized La10Ga3Co7 structure (PBE).

## Properties
Calculated total energy: -5.66 eV per atom
ΔH_f (0 K): -5.070 eV per formula unit

abc: 4.026 10.037 24.136
angles: 90.00 90.00 90.00
Site moments in Bohr magnetons follow the coordinates.
Sites, in units of the cell vectors:
La 0.000 0.148 0.182  -0.02
La 0.500 0.179 0.662  -0.06
La 0.500 0.821 0.162  -0.06
La 0.500 0.848 0.444  -0.05
La 0.500 0.610 0.977  -0.08
La 0.000 0.687 0.853  -0.06
La 0.000 0.520 0.188  -0.04
La 0.000 0.105 0.526  -0.09
La 0.500 0.349 0.810  -0.01
La 0.500 0.390 0.477  -0.08
La 0.500 0.651 0.310  -0.01
La 0.500 0.006 0.305  -0.04
La 0.000 0.852 0.682  -0.02
La 0.500 0.994 0.805  -0.04
La 0.500 0.152 0.944  -0.05
La 0.000 0.646 0.554  -0.04
La 0.000 0.480 0.688  -0.04
La 0.000 0.313 0.353  -0.06
La 0.000 0.354 0.054  -0.04
La 0.000 0.895 0.026  -0.09
Co 0.500 0.856 0.922  0.84
Co 0.500 0.325 0.143  0.18
Co 0.500 0.567 0.096  0.84
Co 0.000 0.176 0.860  0.28
Co 0.000 0.945 0.902  0.94
Co 0.500 0.675 0.643  0.18
Co 0.500 0.144 0.422  0.84
Co 0.500 0.433 0.596  0.84
Co 0.000 0.811 0.251  0.09
Co 0.000 0.346 0.578  0.83
Co 0.000 0.654 0.078  0.83
Co 0.000 0.189 0.751  0.09
Co 0.000 0.824 0.360  0.28
Co 0.000 0.055 0.402  0.94
Ga 0.500 0.673 0.751  0.00
Ga 0.500 0.111 0.082  0.00
Ga 0.500 0.327 0.251  0.00
Ga 0.000 0.396 0.915  0.00
Ga 0.500 0.889 0.582  0.00
Ga 0.000 0.604 0.415  0.00



9.
Entry from Alexandria: a geometry-optimized LaGa3Co3 structure (PBE).

## Properties
Calculated total energy: -5.20 eV per atom
ΔH_f (0 K): -1.041 eV per formula unit
ΔE to the lowest computed polymorph: 0.0 kJ per mole of atoms

abc: 6.572 6.572 7.857
angles: 65.28 65.28 60.00
Site moments in Bohr magnetons follow the coordinates.
Sites, in units of the cell vectors:
Co 0.220 0.475 0.642  0.65
Co 0.475 0.664 0.642  0.65
Co 0.664 0.220 0.642  0.65
Co 0.336 0.780 0.358  0.65
Co 0.525 0.336 0.358  0.65
Co 0.780 0.525 0.358  0.65
Ga 0.957 0.112 0.319  -0.03
Ga 0.388 0.043 0.681  -0.03
Ga 0.888 0.388 0.681  -0.03
Ga 0.612 0.957 0.319  -0.03
Ga 0.112 0.612 0.319  -0.03
Ga 0.043 0.888 0.681  -0.03
La 0.338 0.338 0.987  -0.06
La 0.662 0.662 0.013  -0.06



10.
Entry from Alexandria: a geometry-optimized La3Ga2Co7 structure (PBE).

## Properties
Calculated total energy: -6.07 eV per atom
ΔH_f (0 K): -2.267 eV per formula unit

abc: 5.292 5.292 8.437
angles: 71.72 71.72 60.00
Site moments in Bohr magnetons follow the coordinates.
Sites, in units of the cell vectors:
Co 0.578 0.578 0.754  0.41
Co 0.909 0.422 0.246  0.41
Co 0.422 0.422 0.246  0.41
Co 0.500 0.500 0.500  1.05
Co 0.422 0.909 0.246  0.41
Co 0.091 0.578 0.754  0.41
Co 0.578 0.091 0.754  0.41
La 0.139 0.139 0.582  -0.09
La 0.000 0.000 0.000  -0.08
La 0.861 0.861 0.418  -0.09
Ga 0.668 0.668 0.996  -0.03
Ga 0.332 0.332 0.004  -0.03



11.
Entry from Alexandria: a geometry-optimized La11Ga9Co4 structure (PBE).

## Properties
Calculated total energy: -5.04 eV per atom
ΔH_f (0 K): -11.163 eV per formula unit

abc: 3.783 12.864 12.864
angles: 112.38 90.00 90.00
Sites, in units of the cell vectors:
Co 0.500 0.558 0.770
Co 0.500 0.442 0.230
Co 0.500 0.770 0.558
Co 0.500 0.230 0.442
La 0.000 0.687 0.687
La 0.000 0.376 0.624
La 0.000 0.585 0.927
La 0.000 0.167 0.833
La 0.000 0.073 0.415
La 0.000 0.624 0.376
La 0.000 0.415 0.073
La 0.000 0.000 0.000
La 0.000 0.313 0.313
La 0.000 0.927 0.585
La 0.000 0.833 0.167
Ga 0.500 0.632 0.174
Ga 0.500 0.088 0.222
Ga 0.500 0.174 0.632
Ga 0.500 0.500 0.500
Ga 0.500 0.222 0.088
Ga 0.500 0.368 0.826
Ga 0.500 0.912 0.778
Ga 0.500 0.778 0.912
Ga 0.500 0.826 0.368



12.
Entry from Alexandria: a geometry-optimized La3GaCo structure (PBE).

## Properties
Calculated total energy: -5.27 eV per atom
ΔH_f (0 K): -1.435 eV per formula unit
ΔE to the lowest computed polymorph: 0.0 kJ per mole of atoms

abc: 5.338 6.349 9.505
angles: 110.00 90.04 114.84
Sites, in units of the cell vectors:
La 0.152 0.304 0.641
La 0.119 0.240 0.261
La 0.626 0.252 0.924
La 0.848 0.696 0.359
La 0.881 0.760 0.739
La 0.374 0.748 0.076
Co 0.096 0.192 0.942
Co 0.904 0.808 0.058
Ga 0.583 0.167 0.436
Ga 0.417 0.833 0.564